No. 1
A geometry-optimized HfTlAuS3 structure, computed with PBE.

Summary:
E ... -66.08 eV for the cell shown
Space-group type ... No. 63

```
HfTlAuS3
1.0
3.7845 0.0000 0.0000
1.8923 7.4589 0.0000
0.0000 0.0000 10.0273
Tl S Hf Au
2 6 2 2
direct
0.2786 0.4428 0.2500
0.7214 0.5572 0.7500
0.9533 0.0933 0.2500
0.3820 0.2359 0.5161
0.0467 0.9067 0.7500
0.6180 0.7641 0.0161
0.3820 0.2359 0.9839
0.6180 0.7641 0.4839
0.0000 0.0000 0.5000
0.0000 0.0000 0.0000
0.6057 0.7887 0.2500
0.3943 0.2113 0.7500
```

No. 2
A geometry-optimized FeCuMo4N2 structure, computed with PBE.

Summary:
E ... -71.31 eV for the cell shown
Space-group type ... No. 187

```
FeCuMo4N2
1.0
-1.8666 2.0711 -0.3900
-0.8750 -2.5484 0.8159
1.4645 3.9228 13.8229
Mo Cu N Fe
4 1 2 1
direct
0.0000 0.0000 0.6506
0.6667 0.3333 0.8456
0.0000 0.0000 0.3494
0.6667 0.3333 0.1544
0.0000 0.0000 0.0000
0.3333 0.6667 0.7486
0.3333 0.6667 0.2514
0.6667 0.3333 0.5000
```

No. 3
A geometry-optimized MgTlZnFe structure, computed with PBE.

Summary:
E ... -12.12 eV for the cell shown
Space-group type ... No. 216

```
MgTlZnFe
1.0
0.0000 3.2743 3.2743
3.2743 0.0000 3.2743
3.2743 3.2743 0.0000
Zn Tl Fe Mg
1 1 1 1
direct
0.5000 0.5000 0.5000
0.0000 0.0000 0.0000
0.7500 0.7500 0.7500
0.2500 0.2500 0.2500
```

No. 4
A geometry-optimized Nd2Sm2CBr2Cl3 structure, computed with PBE.

Summary:
E ... -53.00 eV for the cell shown
Space-group type ... No. 12

```
Nd2Sm2CBr2Cl3
1.0
9.0484 -1.9437 0.0000
9.0484 1.9437 0.0000
-1.8828 0.0000 7.9052
Br Cl C Sm Nd
2 3 1 2 2
direct
0.1721 0.1721 0.8263
0.8279 0.8279 0.1737
0.5000 0.5000 0.5000
0.8389 0.8389 0.6699
0.1611 0.1611 0.3301
0.5000 0.5000 0.0000
0.6408 0.6408 0.0781
0.3592 0.3592 0.9219
0.0003 0.0003 0.7855
0.9997 0.9997 0.2145
```

No. 5
A geometry-optimized CsRbAgP structure, computed with PBE.

Summary:
E ... -22.49 eV for the cell shown
Space-group type ... No. 11

```
CsRbAgP
1.0
-6.2221 1.9811 1.2317
-2.2159 -4.8870 -3.3333
1.6793 -4.1698 4.9970
Rb Cs P Ag
2 2 2 2
direct
0.6884 0.7500 0.0285
0.3116 0.2500 0.9715
0.9647 0.2500 0.3113
0.0353 0.7500 0.6887
0.7272 0.2500 0.7468
0.2728 0.7500 0.2532
0.5000 0.0000 0.5000
0.5000 0.5000 0.5000
```

No. 6
A geometry-optimized U3Cu2Sb3 structure, computed with PBE.

Summary:
E ... -109.28 eV for the cell shown
Space-group type ... No. 63

```
U3Cu2Sb3
1.0
-1.6134 3.9453 1.0963
-2.6926 -3.1206 -1.5671
-3.7453 -7.4323 21.2352
Sb U Cu
6 6 4
direct
0.3334 0.6669 0.8403
0.0000 0.0000 0.5000
0.3334 0.6669 0.6597
0.0000 0.0000 0.0000
0.6666 0.3331 0.1597
0.6666 0.3331 0.3403
0.6665 0.3331 0.5785
0.3335 0.6669 0.0785
0.3331 0.6662 0.2500
0.6669 0.3338 0.7500
0.6665 0.3331 0.9215
0.3335 0.6669 0.4215
0.0002 0.0004 0.8102
0.9998 0.9996 0.3102
0.0002 0.0004 0.6898
0.9998 0.9996 0.1898
```